(1)
A geometry-optimized Pa2InBi6 structure, computed with PBE-GGA.

Geometry as extended XYZ:
```
18
Lattice="8.192 0.000 0.000 0.000 8.192 0.000 0.000 0.000 10.064" Properties=species:S:1:pos:R:3 pbc="T T T"
In 0.000 0.000 5.032
In 4.096 4.096 0.000
Bi 1.852 6.340 3.157
Pa 0.000 0.000 1.394
Bi 6.075 6.075 5.032
Bi 5.948 5.948 1.875
Bi 1.852 6.340 6.907
Pa 4.096 4.096 3.638
Bi 6.340 1.852 3.157
Bi 2.244 2.244 8.189
Pa 4.096 4.096 6.427
Pa 0.000 0.000 8.670
Bi 6.212 1.979 0.000
Bi 2.117 2.117 5.032
Bi 2.244 2.244 1.875
Bi 6.340 1.852 6.907
Bi 1.979 6.212 0.000
Bi 5.948 5.948 8.189
```

energy of formation from the pure elements	2.29	eV per formula unit

(2)
A geometry-optimized Cd2CuCl structure, computed with PBE-GGA.

Geometry as extended XYZ:
```
4
Lattice="8.290 -0.012 -0.007 7.574 3.369 -0.007 7.574 1.603 2.964" Properties=species:S:1:pos:R:3 pbc="T T T"
Cu 17.578 3.721 2.212
Cl 5.859 1.240 0.737
Cd 11.585 2.452 1.458
Cd 0.134 0.028 0.017
```

energy relative to the lowest polymorph listed for this composition	31	meV/atom

| no. | magnetic moment (μB/f.u.) |
| --- | --- |
| 1 | 0.01 |
| 2 | 0.00 |